# 1
# TbCuRu | Alexandria | PBE | relaxed
data_TbCuRu
_chemical_formula_sum 'Tb4 Cu4 Ru4'
_cell_length_a 8.467
_cell_length_b 5.353
_cell_length_c 5.147
_cell_angle_alpha 90.00
_cell_angle_beta 109.15
_cell_angle_gamma 90.00
_symmetry_space_group_name_H-M 'C 1 2/m 1'
_symmetry_Int_Tables_number 12
_symmetry_space_group_name_Hall '-C 2y'
loop_
_atom_site_label
_atom_site_type_symbol
_atom_site_fract_x
_atom_site_fract_y
_atom_site_fract_z
Tb1 Tb 0.141 0.000 0.380
Cu1 Cu 0.250 0.250 0.000
Ru1 Ru 0.012 0.500 0.269
# Offset from the most stable computed form = 330 meV per atom
# Total DFT energy (no corrections) = -5.9632 eV per atom
# Mass density = 9.750 g/cm3
# ΔH_f (0 K) = 0.11 eV/f.u.

***

# 2
# Tb2CuRu3 | Alexandria | PBE | relaxed
data_Tb2CuRu3
_chemical_formula_sum 'Tb4 Cu2 Ru6'
_cell_length_a 9.169
_cell_length_b 5.305
_cell_length_c 5.335
_cell_angle_alpha 90.00
_cell_angle_beta 125.02
_cell_angle_gamma 90.00
_symmetry_space_group_name_H-M 'C 1 2/m 1'
_symmetry_Int_Tables_number 12
_symmetry_space_group_name_Hall '-C 2y'
loop_
_atom_site_label
_atom_site_type_symbol
_atom_site_fract_x
_atom_site_fract_y
_atom_site_fract_z
Tb1 Tb 0.122 0.000 0.367
Cu1 Cu 0.000 0.500 0.500
Ru1 Ru 0.000 0.500 0.000
Ru2 Ru 0.250 0.250 0.000
# Total DFT energy (no corrections) = -7.1428 eV per atom
# Mass density = 10.697 g/cm3
# ΔH_f (0 K) = -1.67 eV/f.u.

***

# 3
# TbCuRu | Alexandria | PBE | relaxed
data_TbCuRu
_chemical_formula_sum 'Tb1 Cu1 Ru1'
_cell_length_a 4.2573
_cell_length_b 4.2573
_cell_length_c 3.5990
_cell_angle_alpha 90.00
_cell_angle_beta 90.00
_cell_angle_gamma 120.00
_symmetry_space_group_name_H-M 'P -6 m 2'
_symmetry_Int_Tables_number 187
_symmetry_space_group_name_Hall 'P -6 2'
loop_
_atom_site_label
_atom_site_type_symbol
_atom_site_fract_x
_atom_site_fract_y
_atom_site_fract_z
Tb1 Tb 0.0000 0.0000 0.0000
Cu1 Cu 0.3333 0.6667 0.5000
Ru1 Ru 0.6667 0.3333 0.5000
# Offset from the most stable computed form = 189 meV per atom
# Total DFT energy (no corrections) = -6.1045 eV per atom
# Mass density = 9.510 g/cm3
# ΔH_f (0 K) = -0.31 eV/f.u.

***

# 4
# Tb5Cu4Ru | Alexandria | PBE | relaxed
data_Tb5Cu4Ru
_chemical_formula_sum 'Tb5 Cu4 Ru1'
_cell_length_a 3.455
_cell_length_b 3.455
_cell_length_c 17.535
_cell_angle_alpha 90.00
_cell_angle_beta 90.00
_cell_angle_gamma 90.00
_symmetry_space_group_name_H-M 'P 4/m m m'
_symmetry_Int_Tables_number 123
_symmetry_space_group_name_Hall '-P 4 2'
loop_
_atom_site_label
_atom_site_type_symbol
_atom_site_fract_x
_atom_site_fract_y
_atom_site_fract_z
Tb1 Tb 0.000 0.000 0.000
Tb2 Tb 0.000 0.000 0.201
Tb3 Tb 0.000 0.000 0.404
Cu1 Cu 0.500 0.500 0.100
Cu2 Cu 0.500 0.500 0.300
Ru1 Ru 0.500 0.500 0.500
# Total DFT energy (no corrections) = -5.1554 eV per atom
# Mass density = 9.123 g/cm3
# ΔH_f (0 K) = -2.74 eV/f.u.